# 1
# Cr2PdF PBEsol optimized geometry
data_Cr2PdF
_space_group_name_H-M_alt 'F m -3 m'
_space_group_IT_number 225
_space_group_name_Hall '-F 4 2 3'
_cell_length_a 6.0925
_cell_length_b 6.0925
_cell_length_c 6.0925
_cell_angle_alpha 90.00
_cell_angle_beta 90.00
_cell_angle_gamma 90.00
loop_
_atom_site_label
_atom_site_type_symbol
_atom_site_fract_x
_atom_site_fract_y
_atom_site_fract_z
Cr1 Cr 0.2500 0.2500 0.2500
Pd1 Pd 0.0000 0.0000 0.0000
F1 F 0.0000 0.0000 0.5000
# ΔE_f (raw)	0.225	eV/atom
# density of states at the Fermi level	30.1	states/eV per cell


# 2
# CrFeRu PBEsol optimized geometry
data_CrFeRu
_space_group_name_H-M_alt 'P -6 m 2'
_space_group_IT_number 187
_space_group_name_Hall 'P -6 2'
_cell_length_a 3.9482
_cell_length_b 3.9482
_cell_length_c 2.5588
_cell_angle_alpha 90.00
_cell_angle_beta 90.00
_cell_angle_gamma 120.00
loop_
_atom_site_label
_atom_site_type_symbol
_atom_site_fract_x
_atom_site_fract_y
_atom_site_fract_z
Cr1 Cr 0.0000 0.0000 0.0000
Fe1 Fe 0.3333 0.6667 0.0000
Ru1 Ru 0.6667 0.3333 0.5000
# density of states at the Fermi level	2.5	states/eV per cell
# formation energy from the elements	0.0762	eV/atom


# 3
# SbC3Se PBEsol optimized geometry
data_SbC3Se
_space_group_name_H-M_alt 'P m -3 m'
_space_group_IT_number 221
_space_group_name_Hall '-P 4 2 3'
_cell_length_a 4.2249
_cell_length_b 4.2249
_cell_length_c 4.2249
_cell_angle_alpha 90.00
_cell_angle_beta 90.00
_cell_angle_gamma 90.00
loop_
_atom_site_label
_atom_site_type_symbol
_atom_site_fract_x
_atom_site_fract_y
_atom_site_fract_z
Sb1 Sb 0.0000 0.0000 0.0000
C1 C 0.0000 0.0000 0.5000
Se1 Se 0.5000 0.5000 0.5000
# ΔE_f (raw)	2.954	eV/atom
# density of states at the Fermi level	4.8	states/eV per cell


# 4
# VPO5 PBEsol optimized geometry
data_VPO5
_space_group_name_H-M_alt 'C 1 2/c 1'
_space_group_IT_number 15
_cell_length_a 13.6562
_cell_length_b 5.1287
_cell_length_c 10.1976
_cell_angle_alpha 90.00
_cell_angle_beta 114.46
_cell_angle_gamma 90.00
loop_
_space_group_symop_operation_xyz
'x,y,z'
'-x,-y,-z'
'-x,y,-z+1/2'
'x,-y,z+1/2'
'x+1/2,y+1/2,z'
'-x+1/2,-y+1/2,-z'
'-x+1/2,y+1/2,-z+1/2'
'x+1/2,-y+1/2,z+1/2'
loop_
_atom_site_label
_atom_site_type_symbol
_atom_site_fract_x
_atom_site_fract_y
_atom_site_fract_z
V1 V 0.0000 0.0395 0.2500
V2 V 0.2500 0.2500 0.5000
P1 P 0.1253 0.4679 0.6954
O1 O 0.0486 0.2983 0.1541
O2 O 0.0582 0.2169 0.6761
O3 O 0.1261 0.0796 0.4024
O4 O 0.1842 0.4527 0.5971
O5 O 0.2086 0.4968 0.8537
# ΔE_f (raw)	-2.192	eV/atom


# 5
# KLuMo2O8 PBEsol optimized geometry
data_KLuMo2O8
_space_group_name_H-M_alt 'C 1 2/c 1'
_space_group_IT_number 15
_cell_length_a 10.4776
_cell_length_b 10.0931
_cell_length_c 7.5463
_cell_angle_alpha 90.00
_cell_angle_beta 131.15
_cell_angle_gamma 90.00
loop_
_space_group_symop_operation_xyz
'x,y,z'
'-x,-y,-z'
'-x,y,-z+1/2'
'x,-y,z+1/2'
'x+1/2,y+1/2,z'
'-x+1/2,-y+1/2,-z'
'-x+1/2,y+1/2,-z+1/2'
'x+1/2,-y+1/2,z+1/2'
loop_
_atom_site_label
_atom_site_type_symbol
_atom_site_fract_x
_atom_site_fract_y
_atom_site_fract_z
K1 K 0.0000 0.1981 0.2500
Lu1 Lu 0.0000 0.2303 0.7500
Mo1 Mo 0.1983 0.4974 0.2420
O1 O 0.0238 0.3900 0.9677
O2 O 0.1236 0.0817 0.6917
O3 O 0.1931 0.4180 0.4437
O4 O 0.2248 0.1584 0.1180
# ΔE_f (raw)	-2.472	eV/atom
# density of states at the Fermi level	0.0	states/eV per cell


# 6
# Ta5Pt PBEsol optimized geometry
data_Ta5Pt
_space_group_name_H-M_alt 'C 1 2/m 1'
_space_group_IT_number 12
_cell_length_a 10.1436
_cell_length_b 3.3614
_cell_length_c 6.3543
_cell_angle_alpha 90.00
_cell_angle_beta 108.67
_cell_angle_gamma 90.00
loop_
_space_group_symop_operation_xyz
'x,y,z'
'-x,-y,-z'
'-x,y,-z'
'x,-y,z'
'x+1/2,y+1/2,z'
'-x+1/2,-y+1/2,-z'
'-x+1/2,y+1/2,-z'
'x+1/2,-y+1/2,z'
loop_
_atom_site_label
_atom_site_type_symbol
_atom_site_fract_x
_atom_site_fract_y
_atom_site_fract_z
Ta1 Ta 0.0000 0.0000 0.0000
Ta2 Ta 0.1647 0.5000 0.8338
Ta3 Ta 0.1682 0.5000 0.3322
Pt1 Pt 0.0000 0.0000 0.5000
# density of states at the Fermi level	7.8	states/eV per cell
# formation energy from the elements	-0.2709	eV/atom


# 7
# SrLaHg PBEsol optimized geometry
data_SrLaHg
_space_group_name_H-M_alt 'I 4 m m'
_space_group_IT_number 107
_space_group_name_Hall 'I 4 -2'
_cell_length_a 3.8400
_cell_length_b 3.8400
_cell_length_c 13.9020
_cell_angle_alpha 90.00
_cell_angle_beta 90.00
_cell_angle_gamma 90.00
loop_
_atom_site_label
_atom_site_type_symbol
_atom_site_fract_x
_atom_site_fract_y
_atom_site_fract_z
Sr1 Sr 0.0000 0.0000 0.0000
La1 La 0.0000 0.0000 0.7264
Hg1 Hg 0.0000 0.0000 0.3535
# density of states at the Fermi level	5.2	states/eV per cell
# formation energy from the elements	-0.3290	eV/atom


# 8
# Na2Nd2PtO6 PBEsol optimized geometry
data_Na2Nd2PtO6
_space_group_name_H-M_alt 'C 1 2 1'
_space_group_IT_number 5
_cell_length_a 9.3401
_cell_length_b 9.1514
_cell_length_c 6.5928
_cell_angle_alpha 90.00
_cell_angle_beta 91.39
_cell_angle_gamma 90.00
loop_
_space_group_symop_operation_xyz
'x,y,z'
'-x,y,-z'
'x+1/2,y+1/2,z'
'-x+1/2,y+1/2,-z'
loop_
_atom_site_label
_atom_site_type_symbol
_atom_site_fract_x
_atom_site_fract_y
_atom_site_fract_z
Na1 Na 0.0000 0.0000 0.0000
Na2 Na 0.0000 0.4875 0.5000
Na3 Na 0.1757 0.3160 0.1433
Nd1 Nd 0.0000 0.6223 0.0000
Nd2 Nd 0.0000 0.8568 0.5000
Nd3 Nd 0.1792 0.1808 0.6471
Pt1 Pt 0.2454 0.9983 0.2442
O1 O 0.0588 0.1003 0.3179
O2 O 0.0721 0.3916 0.8107
O3 O 0.1217 0.8168 0.1866
O4 O 0.1305 0.6702 0.6750
O5 O 0.2417 0.0631 0.9479
O6 O 0.2471 0.4303 0.4660
# ΔE_f (raw)	-2.173	eV/atom
# density of states at the Fermi level	0.0	states/eV per cell